(1)
YSc2: relaxed, PBE.

Unit cell a=4.7214 b=14.2997 c=4.7964 alpha=90.00 beta=90.00 gamma=90.00
Space group Cmcm (No. 63)
Unique sites:
Y 0.0000 0.0854 0.2500 [4 per cell]
Sc 0.0000 0.2486 0.7500 [4 per cell]
Sc 0.0000 0.4125 0.2500 [4 per cell]

Summary:
Density of states at the Fermi level, states/eV/atom: 1.8078
Crystal system: orthorhombic
VASP energy, eV/atom: -6.313
Total magnetic moment, μB per atom: 0.00



(2)
AlHgSe3: relaxed, PBE.

Unit cell a=4.9559 b=4.9559 c=4.9559 alpha=90.00 beta=90.00 gamma=90.00
Space group Pm-3m (No. 221)
Unique sites:
Al 0.0000 0.0000 0.0000 [1 per cell]
Hg 0.5000 0.5000 0.5000 [1 per cell]
Se 0.0000 0.0000 0.5000 [3 per cell]

Summary:
Density of states at the Fermi level, states/eV/atom: 1.0586
Crystal system: cubic
Formation energy without anion corrections, meV/atom: 98
Total magnetic moment, μB per atom: 0.00



(3)
MgGeTe4Pb2: relaxed, PBE.

Unit cell a=7.6434 b=4.4266 c=7.7543 alpha=90.00 beta=109.26 gamma=90.00
Space group P2/m (No. 10)
Unique sites:
Mg 0.0000 0.0000 0.0000 [1 per cell]
Ge 0.5000 0.5000 0.0000 [1 per cell]
Te 0.2392 0.5000 0.2216 [2 per cell]
Te 0.2575 0.0000 0.7778 [2 per cell]
Pb 0.0000 0.5000 0.5000 [1 per cell]
Pb 0.5000 0.0000 0.5000 [1 per cell]

Summary:
Crystal system: monoclinic
Formation energy without anion corrections, meV/atom: -410
Total magnetic moment, μB per atom: 0.00